1.
Here is an optimized crystal structure of ReAsRu2 from Alexandria via LeMat-Bulk. Energies are from PBE.

POSCAR file:
```
ReAsRu2
1.0
2.916 0.000 0.000
0.000 4.498 0.000
0.000 0.000 4.432
Re As Ru
1 1 2
direct
0.000 0.500 0.500
0.500 0.000 0.500
0.000 0.000 0.000
0.500 0.500 0.000
```

ΔE_f, eV per formula unit: 1.2

2.
Here is an optimized crystal structure of Ce2ErSc3As6 from Alexandria via LeMat-Bulk. Energies are from PBE.

POSCAR file:
```
Ce2ErSc3As6
1.0
-0.700 -5.499 4.259
4.250 5.264 1.760
-6.142 3.066 1.035
Ce Er Sc As
2 1 3 6
direct
0.334 0.666 0.000
0.666 0.334 0.000
0.000 0.000 0.000
0.167 0.833 0.500
0.833 0.167 0.500
0.500 0.500 0.500
0.911 0.581 0.734
0.759 0.759 0.268
0.089 0.419 0.266
0.581 0.911 0.734
0.241 0.241 0.732
0.419 0.089 0.266
```

ΔE_f, eV per formula unit: -16.8

3.
Here is an optimized crystal structure of TaTlSbTe2 from Alexandria via LeMat-Bulk. Energies are from PBE.

POSCAR file:
```
TaTlSbTe2
1.0
5.474 0.000 0.000
0.000 5.474 0.000
0.000 0.000 5.472
Sb Tl Te Ta
1 1 2 1
direct
0.000 0.000 0.500
0.500 0.500 0.500
0.000 0.500 0.000
0.500 0.000 0.000
0.000 0.000 0.000
```

Polymorph energy (0 for the lowest one), eV/atom: 0.000
ΔE_f (raw), kJ/mol of formula units: 44